Material: Na3La3GaO8
Method: DFT, PBE
State: relaxed

The value obtained for the energy relative to the elements, uncorrected is -2.309 eV/atom. As for the density of states at the Fermi level: 15.243 states/eV per cell.

Lattice parameters (Å, degrees): 7.077 7.076 6.897 120.87 90.00 120.00
Atoms (fractional coordinates):
O 0.212 0.989 0.701
La 0.500 0.000 0.500
La 0.500 0.500 0.500
O 0.261 0.522 0.283
O 0.224 0.011 0.299
O 0.776 0.989 0.701
O 0.788 0.011 0.299
La 0.000 0.500 0.500
Na 0.000 0.000 0.000
O 0.739 0.478 0.717
O 0.212 0.425 0.701
O 0.788 0.575 0.299
Na 0.500 0.500 0.000
Na 0.000 0.500 0.000
Ga 0.000 0.000 0.500